# 1
First-principles (PBE) data for crystalline BaLa2Tl at its relaxed geometry, as listed in the Alexandria database.

```
4
Lattice="3.547 -6.154 0.000 3.547 6.154 0.000 -1.721 0.000 3.364" Properties=species:S:1:pos:R:3 pbc="T T T"
Ba 0.000 0.000 0.000
La 0.913 3.077 1.682
La 0.913 -3.077 1.682
Tl 3.547 0.000 0.000
```

Computed properties:
For the magnetization, the calculation gives 0.00 μB per cell. The density of states at the Fermi level comes out at 1.24 states/eV/atom. As for the total energy: -3.56 eV/atom. As for the calculated volume: 147 Å³/cell. As for the formation energy: -0.024 eV per atom. Its space group is No. 12.

# 2
First-principles (PBE) data for crystalline LiMnRe2 at its relaxed geometry, as listed in the Alexandria database.

```
4
Lattice="2.586 0.000 0.000 0.000 4.194 0.000 -0.954 0.000 4.981" Properties=species:S:1:pos:R:3 pbc="T T T"
Li 0.000 0.000 0.000
Mn 0.816 0.000 2.491
Re -0.063 2.097 3.757
Re 1.695 2.097 1.225
```

Computed properties:
For the magnetization, the calculation gives 1.85 μB per cell. The density of states at the Fermi level comes out at 0.66 states/eV/atom. As for the total energy: -8.80 eV/atom. As for the calculated volume: 54 Å³/cell. As for the formation energy: 0.199 eV per atom. Its space group is No. 10.